CsBaNiF6 | PBE+U | optimized geometry

The structure in extended XYZ format:
```
18
Lattice="-3.949 4.231 5.162 3.949 -4.231 5.162 3.949 4.231 -5.162" Properties=species:S:1:pos:R:3 pbc="T T T"
Cs 0.000 2.116 0.931
Cs 3.949 2.116 4.231
Ba 3.949 0.000 0.000
Ba 0.000 0.000 5.162
Ni 1.975 2.116 -2.581
Ni 1.975 -2.116 2.581
F 1.671 -0.810 1.321
F 6.228 -0.810 1.321
F 3.949 2.116 -1.898
F 1.671 3.421 -1.321
F 2.279 -0.810 3.841
F 3.949 2.116 1.384
F 0.000 2.116 3.778
F 1.671 5.042 1.321
F 2.279 0.810 6.483
F 0.000 2.116 7.060
F -2.279 5.042 3.841
F 2.279 5.042 3.841
```

Computed properties:
Its electronic total energy is -4.5655 eV per atom.